# 1
Here is crystalline ZnNi2B2 at its relaxed geometry from Alexandria. Energies are from GGA-PBE.

Cell: 5.702 5.702 2.778 Å, 90.00 90.00 90.00°
Space group P4/mbm (No. 127)
One atom of each set of equivalent atoms:
Zn 0.000 0.000 0.000
Ni 0.166 0.334 0.500
B 0.114 0.614 0.000

- Fermi-level density of states: 1.0 states/eV per cell
- DFT formation energy: -78 meV/atom


# 2
Here is crystalline ZnNi6B at its relaxed geometry from Alexandria. Energies are from GGA-PBE.

Cell: 7.1095 7.1095 6.2457 Å, 90.00 90.00 120.00°
Space group R-3m (No. 166, hexagonal axes)
One atom of each set of equivalent atoms:
Zn 0.0000 0.0000 0.0000
Ni 0.0693 0.5346 0.3241
B 0.0000 0.0000 0.5000

- Fermi-level density of states: 28.0 states/eV per cell
- DFT formation energy: 45 meV/atom


# 3
Here is crystalline ZrNiB3 at its relaxed geometry from Alexandria. Energies are from GGA-PBE.

Cell: 4.311 4.311 4.311 Å, 90.00 90.00 90.00°
Space group Pm-3m (No. 221)
One atom of each set of equivalent atoms:
Zr 0.000 0.000 0.000
Ni 0.500 0.500 0.500
B 0.000 0.000 0.500

- Distance to the lowest polymorph of the same formula: 2676 meV/atom
- Fermi-level density of states: 3.1 states/eV per cell
- DFT formation energy: 2083 meV/atom


# 4
Here is crystalline Zr2Ni21B6 at its relaxed geometry from Alexandria. Energies are from GGA-PBE.

Cell: 10.605 10.605 10.605 Å, 90.00 90.00 90.00°
Space group Fm-3m (No. 225)
One atom of each set of equivalent atoms:
Zr 0.250 0.250 0.250
Ni 0.000 0.000 0.000
Ni 0.000 0.169 0.169
Ni 0.114 0.114 0.386
B 0.000 0.000 0.269

- Fermi-level density of states: 74.4 states/eV per cell
- DFT formation energy: -373 meV/atom


Number 1: total energy -26.58 eV per formula unit. Number 2: total energy -42.28 eV per formula unit. Number 3: total energy -23.94 eV per formula unit. Number 4: total energy -189.40 eV per formula unit.